1.
{"formula": "AcGa2ReO8", "functional": "GGA-PBE", "state": "relaxed", "lattice_angstrom": [[4.8817, 0.4502, 0.3727], [0.4729, 4.8794, 0.3684], [0.5249, 0.5303, 6.9769]], "species": ["O", "O", "O", "O", "O", "O", "O", "O", "Ga", "Ga", "Re", "Ac"], "frac_coords": [[0.7865, 0.2102, 0.8018], [0.6663, 0.6670, 0.5025], [0.7905, 0.2142, 0.1980], [0.2095, 0.7858, 0.8020], [0.7515, 0.7525, 0.0620], [0.3337, 0.3330, 0.4975], [0.2135, 0.7898, 0.1982], [0.2485, 0.2475, 0.9380], [0.4489, 0.4487, 0.7169], [0.5511, 0.5513, 0.2831], [0.0000, 0.0000, 0.0000], [0.0000, 0.0000, 0.5000]], "final_energy_ev_per_fu": -85.8, "space_group": "C2/m, No. 12"}

2.
{"formula": "CaTi4", "functional": "GGA-PBE", "state": "relaxed", "lattice_angstrom": [[-3.1998, -1.3853, 3.0502], [0.6292, -4.3915, -1.3343], [3.2904, -0.5073, 3.2214]], "species": ["Ti", "Ti", "Ti", "Ti", "Ca"], "frac_coords": [[0.5000, 0.0000, 0.5000], [0.5000, 0.5000, 0.0000], [0.0000, 0.5000, 0.5000], [0.0000, 0.0000, 0.0000], [0.5000, 0.5000, 0.5000]], "final_energy_ev_per_fu": -25.3, "e_form_ev_per_atom": 1.649, "space_group": "Pm-3m, No. 221"}

3.
{"formula": "BRh3", "functional": "GGA-PBE", "state": "relaxed", "lattice_angstrom": [[4.6718, 0.0000, 0.0000], [2.3359, 6.4734, 0.0000], [2.3359, 0.0000, 6.4734]], "species": ["Rh", "Rh", "Rh", "Rh", "Rh", "Rh", "Rh", "Rh", "Rh", "Rh", "Rh", "Rh", "B", "B", "B", "B"], "frac_coords": [[0.8343, 0.6485, 0.6402], [0.0040, 0.9879, 0.5962], [0.1700, 0.9905, 0.1923], [0.5255, 0.6402, 0.3515], [0.6377, 0.1923, 0.0095], [0.3998, 0.5962, 0.0121], [0.5172, 0.3598, 0.6485], [0.0081, 0.4038, 0.9879], [0.5881, 0.0121, 0.4038], [0.8395, 0.8077, 0.9905], [0.3528, 0.0095, 0.8077], [0.1229, 0.3515, 0.3598], [0.7207, 0.2918, 0.2914], [0.3039, 0.7082, 0.7086], [0.9879, 0.2914, 0.7082], [0.9875, 0.7086, 0.2918]], "final_energy_ev_per_fu": -29.1, "e_form_ev_per_atom": -0.087, "space_group": "I-4, No. 82"}

4.
{"formula": "MgH6Ir2Pb", "functional": "GGA-PBE", "state": "relaxed", "lattice_angstrom": [[6.4394, -0.1514, 0.2540], [-0.9386, 6.3725, 0.2540], [-1.3770, -1.5573, 5.1425]], "species": ["H", "H", "H", "H", "H", "H", "H", "H", "H", "H", "H", "H", "Mg", "Mg", "Ir", "Ir", "Ir", "Ir", "Pb", "Pb"], "frac_coords": [[0.5324, 0.3077, 0.8854], [0.7299, 0.7520, 0.8463], [0.4435, 0.9904, 0.6382], [0.2701, 0.2480, 0.1537], [0.2480, 0.2701, 0.6537], [0.5565, 0.0096, 0.3618], [0.3077, 0.5324, 0.3854], [0.9904, 0.4435, 0.1382], [0.6923, 0.4676, 0.6146], [0.7520, 0.7299, 0.3463], [0.4676, 0.6923, 0.1146], [0.0096, 0.5565, 0.8618], [0.6676, 0.3324, 0.2500], [0.3324, 0.6676, 0.7500], [0.1022, 0.3340, 0.3501], [0.6660, 0.8978, 0.1499], [0.3340, 0.1022, 0.8501], [0.8978, 0.6660, 0.6499], [0.1236, 0.8764, 0.2500], [0.8764, 0.1236, 0.7500]], "final_energy_ev_per_fu": -43.1, "space_group": "C2/c, No. 15"}

5.
{"formula": "Sm4CuAg", "functional": "GGA-PBE", "state": "relaxed", "lattice_angstrom": [[-3.9248, -2.9317, 0.9181], [1.5612, -0.6193, 4.6960], [-3.8505, 5.7929, 2.0427]], "species": ["Sm", "Sm", "Sm", "Sm", "Ag", "Cu"], "frac_coords": [[0.0012, 0.4970, 0.2648], [0.0014, 0.4976, 0.7314], [0.5012, 0.9970, 0.2647], [0.5014, 0.9975, 0.7314], [0.5013, 0.4972, 0.9980], [0.0013, 0.9974, 0.4985]], "final_energy_ev_per_fu": -25.3, "e_form_ev_per_atom": 0.091, "e_above_lowest_polymorph_ev_per_fu": 1.24, "space_group": "P4/mmm, No. 123"}

6.
{"formula": "HoAg2Sn", "functional": "GGA-PBE", "state": "relaxed", "lattice_angstrom": [[3.8010, 0.0000, 0.0000], [0.0000, 3.8010, 0.0000], [0.0000, 0.0000, 6.3250]], "species": ["Sn", "Ho", "Ag", "Ag"], "frac_coords": [[0.5000, 0.5000, 0.5000], [0.5000, 0.5000, 0.0000], [0.0000, 0.0000, 0.7561], [0.0000, 0.0000, 0.2439]], "final_energy_ev_per_fu": -15.2, "e_form_ev_per_atom": -0.240, "space_group": "P4/mmm, No. 123"}

7.
{"formula": "ZnAsPdBr2", "functional": "GGA-PBE", "state": "relaxed", "lattice_angstrom": [[-1.5395, 4.4656, 2.2102], [-3.5084, 0.6711, -3.7996], [-3.3262, -2.4525, 2.6382]], "species": ["Pd", "Zn", "As", "Br", "Br"], "frac_coords": [[0.0000, 0.0000, 0.0000], [0.5000, 0.5000, 0.5000], [0.0000, 0.0000, 0.5000], [0.5000, 0.0000, 0.0000], [0.0000, 0.5000, 0.0000]], "final_energy_ev_per_fu": -13.2, "e_above_lowest_polymorph_ev_per_fu": 0.00, "space_group": "P4/mmm, No. 123"}

8.
{"formula": "ZrSc2Tl", "functional": "GGA-PBE", "state": "relaxed", "lattice_angstrom": [[-3.8820, -0.0611, -4.0455], [-2.4530, -5.0207, -0.4631], [0.9839, 3.4157, 4.3364]], "species": ["Sc", "Sc", "Zr", "Tl"], "frac_coords": [[0.0000, 0.0000, 0.0000], [0.5000, 0.5000, 0.0000], [0.7500, 0.2500, 0.5000], [0.2500, 0.7500, 0.5000]], "final_energy_ev_per_fu": -24.0, "e_form_ev_per_atom": -0.116, "e_above_lowest_polymorph_ev_per_fu": 0.21, "space_group": "I4/mmm, No. 139"}

9.
{"formula": "SmEuPd4", "functional": "GGA-PBE", "state": "relaxed", "lattice_angstrom": [[5.5126, 0.0000, 0.0000], [2.7563, 4.7740, 0.0000], [2.7563, 1.5913, 4.5010]], "species": ["Pd", "Pd", "Pd", "Pd", "Eu", "Sm"], "frac_coords": [[0.6250, 0.1250, 0.6250], [0.1250, 0.6250, 0.6250], [0.6250, 0.6250, 0.6250], [0.6250, 0.6250, 0.1250], [0.2500, 0.2500, 0.2500], [0.0000, 0.0000, 0.0000]], "final_energy_ev_per_fu": -40.2, "e_form_ev_per_atom": -0.737, "space_group": "F-43m, No. 216"}

10.
{"formula": "Te2RhCN", "functional": "GGA-PBE", "state": "relaxed", "lattice_angstrom": [[5.3610, 0.0000, 0.0000], [0.0000, 5.3610, 0.0000], [0.0000, 0.0000, 3.6142]], "species": ["C", "N", "Rh", "Te", "Te"], "frac_coords": [[0.5000, 0.5000, 0.5000], [0.0000, 0.0000, 0.5000], [0.0000, 0.0000, 0.0000], [0.0000, 0.5000, 0.0000], [0.5000, 0.0000, 0.0000]], "final_energy_ev_per_fu": -23.1, "e_above_lowest_polymorph_ev_per_fu": 2.59, "space_group": "P4/mmm, No. 123"}

11.
{"formula": "CsSrAg3", "functional": "GGA-PBE", "state": "relaxed", "lattice_angstrom": [[6.1256, 0.0000, 0.0000], [0.0000, 6.1256, 0.0000], [0.0000, 0.0000, 6.1256]], "species": ["Ag", "Ag", "Ag", "Cs", "Sr"], "frac_coords": [[0.0000, 0.5000, 0.0000], [0.5000, 0.0000, 0.0000], [0.0000, 0.0000, 0.5000], [0.0000, 0.0000, 0.0000], [0.5000, 0.5000, 0.5000]], "final_energy_ev_per_fu": -7.4, "e_form_ev_per_atom": 0.745, "e_above_lowest_polymorph_ev_per_fu": 2.43, "space_group": "Pm-3m, No. 221"}

12.
{"formula": "DyLuInOs", "functional": "GGA-PBE", "state": "relaxed", "lattice_angstrom": [[4.9890, 0.0000, 0.0000], [2.4945, 4.3206, 0.0000], [2.4945, 1.4402, 4.0735]], "species": ["Os", "In", "Dy", "Lu"], "frac_coords": [[0.2500, 0.2500, 0.2500], [0.7500, 0.7500, 0.7500], [0.5000, 0.5000, 0.5000], [0.0000, 0.0000, 0.0000]], "final_energy_ev_per_fu": -24.2, "e_form_ev_per_atom": -0.268, "space_group": "F-43m, No. 216"}

13.
{"formula": "LiTlAuI3", "functional": "GGA-PBE", "state": "relaxed", "lattice_angstrom": [[-3.3263, -8.3998, 1.1644], [4.8473, -7.3252, 2.4130], [-1.1216, -0.5307, 7.7995]], "species": ["Li", "Li", "Tl", "Tl", "I", "I", "I", "I", "I", "I", "Au", "Au"], "frac_coords": [[0.0227, 0.0227, 0.7369], [0.9773, 0.9773, 0.2631], [0.2547, 0.2547, 0.2583], [0.7453, 0.7453, 0.7417], [0.1905, 0.1905, 0.6818], [0.8399, 0.3439, 0.1766], [0.8095, 0.8095, 0.3182], [0.1601, 0.6561, 0.8234], [0.3439, 0.8399, 0.1766], [0.6561, 0.1601, 0.8234], [0.7344, 0.2656, 0.5000], [0.2656, 0.7344, 0.5000]], "final_energy_ev_per_fu": -15.7, "space_group": "C2/m, No. 12"}

14.
{"formula": "CaGa2Ge2", "functional": "GGA-PBE", "state": "relaxed", "lattice_angstrom": [[-1.1302, -2.8681, 3.0052], [2.2010, -3.0548, -2.0877], [5.3654, -1.6065, 3.5683]], "species": ["Ge", "Ge", "Ga", "Ga", "Ca"], "frac_coords": [[0.3857, 0.3857, 0.2285], [0.6143, 0.6143, 0.7715], [0.7500, 0.2500, 0.5000], [0.2500, 0.7500, 0.5000], [0.0000, 0.0000, 0.0000]], "final_energy_ev_per_fu": -18.4, "e_form_ev_per_atom": -0.223, "space_group": "I4/mmm, No. 139"}

15.
{"formula": "CaSi2As", "functional": "GGA-PBE", "state": "relaxed", "lattice_angstrom": [[-2.5392, 4.7168, -1.7970], [-4.9292, 1.4327, 2.3612], [5.4252, -1.1465, 1.0852]], "species": ["Si", "Si", "As", "Ca"], "frac_coords": [[0.9689, 0.9689, 0.0000], [0.5311, 0.5311, 0.0000], [0.7500, 0.2500, 0.5000], [0.2500, 0.7500, 0.5000]], "final_energy_ev_per_fu": -17.7, "space_group": "Immm, No. 71"}

16.
{"formula": "NdCuPt2", "functional": "GGA-PBE", "state": "relaxed", "lattice_angstrom": [[-2.1810, -4.6579, 0.2704], [3.8771, -1.6148, 3.4554], [-6.9633, 3.8177, 9.5972]], "species": ["Nd", "Nd", "Nd", "Nd", "Pt", "Pt", "Pt", "Pt", "Pt", "Pt", "Pt", "Pt", "Cu", "Cu", "Cu", "Cu"], "frac_coords": [[0.5000, 0.7500, 0.0997], [0.0000, 0.7500, 0.4032], [0.5000, 0.2500, 0.9003], [0.0000, 0.2500, 0.5968], [0.7492, 0.2500, 0.1560], [0.7492, 0.7500, 0.8440], [0.5000, 0.5000, 0.5000], [0.0000, 0.5000, 0.0000], [0.2508, 0.7500, 0.8440], [0.5000, 0.0000, 0.5000], [0.2508, 0.2500, 0.1560], [0.0000, 0.0000, 0.0000], [0.5000, 0.2500, 0.3295], [0.5000, 0.7500, 0.6705], [0.0000, 0.7500, 0.6639], [0.0000, 0.2500, 0.3361]], "final_energy_ev_per_fu": -22.8, "e_form_ev_per_atom": -0.461, "space_group": "Pmma, No. 51"}

17.
{"formula": "Na2Tl3Br2Cl4", "functional": "GGA-PBE", "state": "relaxed", "lattice_angstrom": [[-5.0244, -0.9075, -0.1245], [0.7008, -3.3610, -3.7810], [3.6880, -7.5336, 10.8296]], "species": ["Cl", "Cl", "Cl", "Cl", "Tl", "Tl", "Tl", "Br", "Br", "Na", "Na"], "frac_coords": [[0.5650, 0.0650, 0.1301], [0.4350, 0.9350, 0.8699], [0.0650, 0.5650, 0.1301], [0.9350, 0.4350, 0.8699], [0.8188, 0.8188, 0.6376], [0.1812, 0.1812, 0.3624], [0.0000, 0.0000, 0.0000], [0.2994, 0.2994, 0.5989], [0.7006, 0.7006, 0.4011], [0.4071, 0.4071, 0.8143], [0.5929, 0.5929, 0.1857]], "final_energy_ev_per_fu": -32.3, "space_group": "I4/mmm, No. 139"}

18.
{"formula": "KSr2Ca2", "functional": "GGA-PBE", "state": "relaxed", "lattice_angstrom": [[5.4446, 0.0000, 0.0000], [0.0000, 5.4446, 0.0000], [2.7223, 2.7223, 9.8190]], "species": ["Ca", "Ca", "K", "Sr", "Sr"], "frac_coords": [[0.5983, 0.5983, 0.8033], [0.4017, 0.4017, 0.1967], [0.0000, 0.0000, 0.0000], [0.2500, 0.7500, 0.5000], [0.7500, 0.2500, 0.5000]], "final_energy_ev_per_fu": -7.0, "e_form_ev_per_atom": 0.289, "e_above_lowest_polymorph_ev_per_fu": 0.77, "space_group": "I4/mmm, No. 139"}

19.
{"formula": "CrTeIrN2", "functional": "GGA-PBE", "state": "relaxed", "lattice_angstrom": [[-1.9094, -2.0614, -2.5848], [2.8545, -2.5339, -0.0878], [-2.6461, -3.1354, 4.4551]], "species": ["Te", "Ir", "N", "N", "Cr"], "frac_coords": [[0.0000, 0.0000, 0.5000], [0.0000, 0.0000, 0.0000], [0.5000, 0.0000, 0.0000], [0.0000, 0.5000, 0.0000], [0.5000, 0.5000, 0.5000]], "final_energy_ev_per_fu": -33.9, "e_above_lowest_polymorph_ev_per_fu": 0.00, "space_group": "P4/mmm, No. 123"}

20.
{"formula": "SmErP", "functional": "GGA-PBE", "state": "relaxed", "lattice_angstrom": [[-4.1571, -0.1433, -0.6198], [-0.4300, -2.3865, 3.4360], [-0.8956, 6.6098, 4.4789]], "species": ["Sm", "Sm", "P", "P", "Er", "Er"], "frac_coords": [[0.8365, 0.8365, 0.5000], [0.3365, 0.3365, 0.5000], [0.3365, 0.8365, 0.2124], [0.8365, 0.3365, 0.7876], [0.3364, 0.8364, 0.8631], [0.8364, 0.3364, 0.1369]], "final_energy_ev_per_fu": -17.2, "e_form_ev_per_atom": -0.838, "space_group": "P4/nmm, No. 129"}